A relaxed LuHgBiAu crystal. Source: Alexandria via LeMat-Bulk, functional PBE. Values from VASP.

Cell and atoms, written as Quantum ESPRESSO input:
```
&SYSTEM
  ibrav = 0, nat = 4, ntyp = 4
/
ATOMIC_SPECIES
Bi 208.98 Bi.upf
Lu 174.97 Lu.upf
Au 196.97 Au.upf
Hg 200.59 Hg.upf
ATOMIC_POSITIONS angstrom
Bi 1.340 -2.418 -1.543
Lu 4.020 -7.253 -4.629
Au 0.000 0.000 0.000
Hg 2.680 -4.835 -3.086
CELL_PARAMETERS angstrom
-0.844 -4.630 -2.138
2.562 -1.380 -4.273
3.643 -3.660 0.239
```

Output
Spin magnetization: 0.00 μB per atom
Space group: No. 216
ΔH_f (0 K): -0.322 eV per atom
E_tot: -13.27 eV/cell

A relaxed Tb3Pr12Sc crystal. Source: Alexandria via LeMat-Bulk, functional PBE. Values from VASP.

Cell and atoms, written as Quantum ESPRESSO input:
```
&SYSTEM
  ibrav = 0, nat = 16, ntyp = 3
/
ATOMIC_SPECIES
Sc 44.96 Sc.upf
Pr 140.91 Pr.upf
Tb 158.93 Tb.upf
ATOMIC_POSITIONS angstrom
Sc 0.000 0.000 0.000
Pr -2.630 -2.048 -1.507
Pr -13.442 12.244 2.381
Pr -10.382 6.965 4.215
Pr -3.272 -0.166 1.497
Pr -6.828 3.400 2.856
Pr -9.886 8.677 1.022
Pr -6.332 5.113 -0.337
Pr -6.117 1.450 -0.174
Pr -2.776 1.547 -1.697
Pr -9.672 5.015 1.185
Pr -13.227 8.580 2.545
Pr -13.939 10.531 5.575
Tb -3.487 3.497 1.333
Tb -7.042 7.063 2.692
Tb -10.598 10.629 4.052
CELL_PARAMETERS angstrom
-2.133 -0.335 -4.701
-3.126 -3.760 1.687
-14.085 14.125 5.385
```

Output
Spin magnetization: 0.00 μB per atom
Space group: No. 123
ΔH_f (0 K): 0.020 eV per atom
E_tot: -77.26 eV/cell

A relaxed Cd8AgAu2 crystal. Source: Alexandria via LeMat-Bulk, functional PBE. Values from VASP.

Cell and atoms, written as Quantum ESPRESSO input:
```
&SYSTEM
  ibrav = 0, nat = 11, ntyp = 3
/
ATOMIC_SPECIES
Ag 107.87 Ag.upf
Cd 112.41 Cd.upf
Au 196.97 Au.upf
ATOMIC_POSITIONS angstrom
Ag 2.174 0.000 -0.662
Cd 2.369 2.854 -0.021
Cd 1.857 5.817 -1.704
Cd 3.613 4.742 4.066
Cd 0.523 1.066 1.717
Cd 2.751 5.637 1.235
Cd 0.905 3.849 2.974
Cd -0.339 1.961 -1.114
Cd 1.417 0.886 4.656
Au 3.215 2.122 2.759
Au 0.059 4.581 0.194
CELL_PARAMETERS angstrom
4.348 0.000 -1.323
-1.140 6.596 -3.746
0.066 0.107 8.022
```

Output
Excess energy over the best structure of this formula in the dataset: 0.0 meV/atom
Spin magnetization: 0.00 μB per atom
Space group: No. 71
ΔH_f (0 K): -0.096 eV per atom
E_tot: -17.78 eV/cell

A relaxed NdMg6Cd6 crystal. Source: Alexandria via LeMat-Bulk, functional PBE. Values from VASP.

Cell and atoms, written as Quantum ESPRESSO input:
```
&SYSTEM
  ibrav = 0, nat = 13, ntyp = 3
/
ATOMIC_SPECIES
Cd 112.41 Cd.upf
Mg 24.30 Mg.upf
Nd 144.24 Nd.upf
ATOMIC_POSITIONS angstrom
Cd -0.286 1.394 3.371
Cd -1.460 -0.463 5.853
Cd -0.321 1.524 8.756
Cd -0.638 3.124 6.207
Cd 1.507 0.132 5.858
Cd -0.673 3.255 11.591
Mg 2.416 0.400 2.932
Mg -3.182 1.782 7.477
Mg 2.223 2.867 7.486
Mg -2.895 1.924 4.549
Mg -2.392 -0.566 2.924
Mg 1.913 2.890 4.558
Nd 0.000 0.000 0.000
CELL_PARAMETERS angstrom
-1.006 4.980 3.251
-4.785 -1.131 5.847
4.832 0.800 5.864
```

Output
Spin magnetization: 0.00 μB per atom
Space group: No. 71
ΔH_f (0 K): -0.159 eV per atom
E_tot: -21.90 eV/cell

A relaxed AgSbH3 crystal. Source: Alexandria via LeMat-Bulk, functional PBE. Values from VASP.

Cell and atoms, written as Quantum ESPRESSO input:
```
&SYSTEM
  ibrav = 0, nat = 5, ntyp = 3
/
ATOMIC_SPECIES
Sb 121.76 Sb.upf
Ag 107.87 Ag.upf
H 1.01 H.upf
ATOMIC_POSITIONS angstrom
Sb -2.897 -1.049 -1.331
Ag 0.000 0.000 0.000
H -1.764 0.464 0.654
H -0.584 0.338 -1.817
H -0.549 -1.851 -0.168
CELL_PARAMETERS angstrom
-1.168 0.676 -3.633
-1.097 -3.702 -0.335
-3.529 0.927 1.307
```

Output
Excess energy over the best structure of this formula in the dataset: 52.9 meV/atom
Spin magnetization: 0.00 μB per atom
Space group: No. 221
E_tot: -13.34 eV/cell

A relaxed BaSr2ZnF8 crystal. Source: Alexandria via LeMat-Bulk, functional PBE. Values from VASP.

Cell and atoms, written as Quantum ESPRESSO input:
```
&SYSTEM
  ibrav = 0, nat = 12, ntyp = 4
/
ATOMIC_SPECIES
F 19.00 F.upf
Sr 87.62 Sr.upf
Zn 65.41 Zn.upf
Ba 137.33 Ba.upf
ATOMIC_POSITIONS angstrom
F -2.814 -1.135 3.340
F -2.473 -3.657 1.843
F -4.725 -3.656 0.439
F -4.385 -6.179 -1.058
F -4.033 -1.638 -1.603
F -2.335 -7.720 1.981
F -3.166 -5.675 3.885
F -4.864 0.407 0.301
Sr -3.437 -1.518 0.884
Sr -3.762 -5.795 1.398
Zn 0.000 0.000 0.000
Ba -0.302 -3.988 0.481
CELL_PARAMETERS angstrom
-1.541 0.594 3.968
-5.054 0.069 -2.649
-0.604 -7.976 0.963
```

Output
Spin magnetization: 0.00 μB per atom
Space group: No. 2
E_tot: -62.85 eV/cell

A relaxed CaYNi3 crystal. Source: Alexandria via LeMat-Bulk, functional PBE. Values from VASP.

Cell and atoms, written as Quantum ESPRESSO input:
```
&SYSTEM
  ibrav = 0, nat = 5, ntyp = 3
/
ATOMIC_SPECIES
Ni 58.69 Ni.upf
Ca 40.08 Ca.upf
Y 88.91 Y.upf
ATOMIC_POSITIONS angstrom
Ni 1.847 1.091 1.127
Ni -0.428 -1.325 1.983
Ni -1.509 1.711 0.817
Ca -0.090 1.477 3.927
Y 0.000 0.000 0.000
CELL_PARAMETERS angstrom
-3.018 3.422 1.634
-0.857 -2.649 3.967
3.694 2.181 2.255
```

Output
Excess energy over the best structure of this formula in the dataset: 0.0 meV/atom
Spin magnetization: 0.00 μB per atom
Space group: No. 221
ΔH_f (0 K): 0.650 eV per atom
E_tot: -22.56 eV/cell

A relaxed Ac16Co5Pd3 crystal. Source: Alexandria via LeMat-Bulk, functional PBE. Values from VASP.

Cell and atoms, written as Quantum ESPRESSO input:
```
&SYSTEM
  ibrav = 0, nat = 24, ntyp = 3
/
ATOMIC_SPECIES
Co 58.93 Co.upf
Ac 227.00 Ac.upf
Pd 106.42 Pd.upf
ATOMIC_POSITIONS angstrom
Co 1.003 10.723 9.062
Co 1.010 3.123 3.248
Co -1.455 7.242 9.888
Co -2.983 1.539 3.760
Co 2.539 7.652 11.537
Ac 3.688 11.167 8.007
Ac -1.030 4.322 9.717
Ac -3.986 6.989 11.144
Ac 6.204 5.955 3.539
Ac 1.457 1.514 0.975
Ac -3.229 3.258 6.046
Ac -1.605 10.161 10.135
Ac 1.277 7.806 8.892
Ac -0.273 0.929 4.655
Ac 2.121 10.490 11.699
Ac 0.700 4.811 5.535
Ac -2.607 7.475 7.176
Ac -1.688 3.758 2.375
Ac 6.851 8.594 6.412
Ac -0.134 7.219 12.507
Ac 5.199 8.147 10.442
Pd -0.488 2.608 7.224
Pd -0.592 10.201 13.023
Pd -2.052 5.736 4.704
CELL_PARAMETERS angstrom
-6.302 5.042 2.909
-3.223 -1.116 7.872
9.337 8.810 5.137
```

Output
Spin magnetization: 0.00 μB per atom
Space group: No. 8
ΔH_f (0 K): -0.202 eV per atom
E_tot: -121.69 eV/cell

A relaxed Pm2YCo2 crystal. Source: Alexandria via LeMat-Bulk, functional PBE. Values from VASP.

Cell and atoms, written as Quantum ESPRESSO input:
```
&SYSTEM
  ibrav = 0, nat = 5, ntyp = 3
/
ATOMIC_SPECIES
Pm 145.00 Pm.upf
Co 58.93 Co.upf
Y 88.91 Y.upf
ATOMIC_POSITIONS angstrom
Pm 1.896 2.875 1.649
Pm 0.000 1.280 3.896
Co 1.896 -0.117 2.433
Co 0.000 4.272 3.112
Y 0.000 0.000 0.000
CELL_PARAMETERS angstrom
3.791 0.000 0.000
0.000 5.677 0.102
-1.896 -1.522 5.443
```

Output
Excess energy over the best structure of this formula in the dataset: 75.8 meV/atom
Spin magnetization: 0.00 μB per atom
Space group: No. 12
ΔH_f (0 K): 0.015 eV per atom
E_tot: -30.10 eV/cell

A relaxed AcGa2 crystal. Source: Alexandria via LeMat-Bulk, functional PBE. Values from VASP.

Cell and atoms, written as Quantum ESPRESSO input:
```
&SYSTEM
  ibrav = 0, nat = 6, ntyp = 2
/
ATOMIC_SPECIES
Ga 69.72 Ga.upf
Ac 227.00 Ac.upf
ATOMIC_POSITIONS angstrom
Ga -4.866 -0.209 4.782
Ga -3.041 1.854 5.823
Ga -5.060 2.559 3.799
Ga -5.894 1.911 6.547
Ac -2.358 0.764 2.619
Ac 0.000 0.000 0.000
CELL_PARAMETERS angstrom
-5.706 0.114 1.450
-1.668 -1.297 5.496
-2.057 4.240 3.530
```

Output
Excess energy over the best structure of this formula in the dataset: 164.3 meV/atom
Spin magnetization: 0.00 μB per atom
Space group: No. 227
ΔH_f (0 K): -0.456 eV per atom
E_tot: -23.06 eV/cell

A relaxed Al2CoSb crystal. Source: Alexandria via LeMat-Bulk, functional PBE. Values from VASP.

Cell and atoms, written as Quantum ESPRESSO input:
```
&SYSTEM
  ibrav = 0, nat = 8, ntyp = 3
/
ATOMIC_SPECIES
Co 58.93 Co.upf
Al 26.98 Al.upf
Sb 121.76 Sb.upf
ATOMIC_POSITIONS angstrom
Co 1.450 -6.076 -0.939
Co -1.554 -2.551 -0.381
Al 2.639 -7.337 0.784
Al -0.121 -3.411 1.401
Al 1.194 -9.472 0.916
Al 0.362 -3.892 -1.089
Sb 0.587 -5.981 1.945
Sb 0.000 0.000 0.000
CELL_PARAMETERS angstrom
-2.417 -2.456 2.502
-0.691 -2.646 -3.265
5.146 -6.955 1.769
```

Output
Spin magnetization: 0.00 μB per atom
Space group: No. 122
E_tot: -36.20 eV/cell

A relaxed PrMnTlSe3 crystal. Source: Alexandria via LeMat-Bulk, functional PBE. Values from VASP.

Cell and atoms, written as Quantum ESPRESSO input:
```
&SYSTEM
  ibrav = 0, nat = 12, ntyp = 4
/
ATOMIC_SPECIES
Se 78.96 Se.upf
Mn 54.94 Mn.upf
Tl 204.38 Tl.upf
Pr 140.91 Pr.upf
ATOMIC_POSITIONS angstrom
Se 1.082 2.592 8.153
Se 3.247 7.770 1.784
Se 3.247 3.629 1.769
Se 1.082 -1.549 8.138
Se 3.247 0.237 5.051
Se 1.082 5.984 4.871
Mn 3.247 7.253 4.212
Mn 1.082 -1.032 5.710
Tl 1.082 1.164 2.103
Tl 3.247 5.057 7.819
Pr 1.082 5.678 1.773
Pr 3.247 0.543 8.149
CELL_PARAMETERS angstrom
4.329 0.000 0.000
0.000 9.192 0.582
0.000 -2.970 9.339
```

Output
Spin magnetization: 0.83 μB per atom
Space group: No. 11
E_tot: -65.79 eV/cell

A relaxed HfMnTl2 crystal. Source: Alexandria via LeMat-Bulk, functional PBE. Values from VASP.

Cell and atoms, written as Quantum ESPRESSO input:
```
&SYSTEM
  ibrav = 0, nat = 4, ntyp = 3
/
ATOMIC_SPECIES
Hf 178.49 Hf.upf
Tl 204.38 Tl.upf
Mn 54.94 Mn.upf
ATOMIC_POSITIONS angstrom
Hf 3.388 3.388 3.388
Tl 1.694 1.694 1.694
Tl 5.082 5.082 5.082
Mn 0.000 0.000 0.000
CELL_PARAMETERS angstrom
0.000 3.388 3.388
3.388 0.000 3.388
3.388 3.388 0.000
```

Output
Excess energy over the best structure of this formula in the dataset: 130.3 meV/atom
Spin magnetization: 0.00 μB per atom
Space group: No. 225
ΔH_f (0 K): 0.647 eV per atom
E_tot: -21.27 eV/cell

A relaxed Ba2Ga7Pd crystal. Source: Alexandria via LeMat-Bulk, functional PBE. Values from VASP.

Cell and atoms, written as Quantum ESPRESSO input:
```
&SYSTEM
  ibrav = 0, nat = 10, ntyp = 3
/
ATOMIC_SPECIES
Ga 69.72 Ga.upf
Ba 137.33 Ba.upf
Pd 106.42 Pd.upf
ATOMIC_POSITIONS angstrom
Ga -7.866 -2.606 5.303
Ga -5.836 0.509 2.382
Ga -1.534 1.893 0.991
Ga -6.093 -1.999 3.358
Ga -3.307 1.286 2.936
Ga 0.000 0.000 0.000
Ga -3.565 -1.221 3.912
Ba -3.358 -1.062 0.356
Ba -6.043 0.349 5.938
Pd -2.271 1.730 -1.529
CELL_PARAMETERS angstrom
-1.369 4.369 0.116
-3.173 -0.910 -3.175
-7.130 -2.443 7.824
```

Output
Spin magnetization: 0.00 μB per atom
Space group: No. 115
ΔH_f (0 K): -0.495 eV per atom
E_tot: -35.18 eV/cell

A relaxed MgCoAu crystal. Source: Alexandria via LeMat-Bulk, functional PBE. Values from VASP.

Cell and atoms, written as Quantum ESPRESSO input:
```
&SYSTEM
  ibrav = 0, nat = 3, ntyp = 3
/
ATOMIC_SPECIES
Co 58.93 Co.upf
Mg 24.30 Mg.upf
Au 196.97 Au.upf
ATOMIC_POSITIONS angstrom
Co 6.357 3.670 2.595
Mg 0.000 0.000 0.000
Au 4.238 2.447 1.730
CELL_PARAMETERS angstrom
4.238 0.000 0.000
2.119 3.670 0.000
2.119 1.223 3.460
```

Output
Excess energy over the best structure of this formula in the dataset: 197.7 meV/atom
Spin magnetization: 0.45 μB per atom
Space group: No. 216
ΔH_f (0 K): 0.199 eV per atom
E_tot: -11.38 eV/cell

A relaxed Cs2CaMgBi2 crystal. Source: Alexandria via LeMat-Bulk, functional PBE. Values from VASP.

Cell and atoms, written as Quantum ESPRESSO input:
```
&SYSTEM
  ibrav = 0, nat = 12, ntyp = 4
/
ATOMIC_SPECIES
Bi 208.98 Bi.upf
Ca 40.08 Ca.upf
Mg 24.30 Mg.upf
Cs 132.91 Cs.upf
ATOMIC_POSITIONS angstrom
Bi -3.202 -4.697 5.044
Bi -4.211 1.890 3.475
Bi -3.397 -7.734 0.866
Bi -4.406 -1.147 -0.703
Ca -1.292 -0.505 -1.290
Ca -3.875 -1.516 -3.871
Mg -3.853 1.668 0.422
Mg -6.436 0.658 -2.159
Cs -2.194 -1.350 2.725
Cs -5.414 -4.494 1.616
Cs -7.251 -0.261 1.798
Cs -0.357 -5.583 2.544
CELL_PARAMETERS angstrom
-5.121 4.347 3.425
-5.167 -2.021 -5.162
2.681 -8.170 6.078
```

Output
Spin magnetization: 0.00 μB per atom
Space group: No. 72
ΔH_f (0 K): -0.601 eV per atom
E_tot: -33.34 eV/cell

A relaxed BeSb2As crystal. Source: Alexandria via LeMat-Bulk, functional PBE. Values from VASP.

Cell and atoms, written as Quantum ESPRESSO input:
```
&SYSTEM
  ibrav = 0, nat = 4, ntyp = 3
/
ATOMIC_SPECIES
Sb 121.76 Sb.upf
Be 9.01 Be.upf
As 74.92 As.upf
ATOMIC_POSITIONS angstrom
Sb -4.712 -7.371 -2.235
Sb -1.571 -2.457 -0.745
Be 0.000 0.000 0.000
As -3.141 -4.914 -1.490
CELL_PARAMETERS angstrom
-0.210 -4.896 0.377
-4.352 -2.251 0.386
-1.721 -2.681 -3.743
```

Output
Excess energy over the best structure of this formula in the dataset: 418.7 meV/atom
Spin magnetization: 0.00 μB per atom
Space group: No. 225
E_tot: -14.32 eV/cell